Below is an optimized crystal structure of Y2URu2, with properties calculated at the PBE level. Values from VASP.

```
&SYSTEM
  ibrav = 0, nat = 10, ntyp = 3
/
ATOMIC_SPECIES
Y 88.91 Y.upf
U 238.03 U.upf
Ru 101.07 Ru.upf
CELL_PARAMETERS angstrom
5.772 0.108 0.856
2.632 5.138 0.856
0.024 0.015 7.753
ATOMIC_POSITIONS angstrom
Y 3.333 1.198 1.767
Y 5.876 2.786 3.821
Y 5.095 4.064 7.698
Y 2.552 2.476 5.644
U 3.080 4.435 2.794
U 5.349 0.827 6.671
Ru 4.344 0.114 4.633
Ru 6.431 1.416 8.708
Ru 4.084 5.148 4.831
Ru 1.997 3.845 0.756
```

## Properties
Symmetry: C2/c (15)
Density of states at the Fermi level in states/eV per cell: 15.68
Energy of formation in meV/atom: -383
Calculated total energy in eV per atom: -8.936